[1]
The following is a DFT calculation (PBE) of a relaxed structure of CoTcBiB2.

Lattice parameters (Å, degrees): 3.8754 5.0367 3.8754 90.00 90.00 90.00
Atoms (fractional coordinates):
B 0.0000 0.0000 0.5000
B 0.5000 0.0000 0.0000
Co 0.0000 0.0000 0.0000
Bi 0.5000 0.5000 0.5000
Tc 0.0000 0.5000 0.0000

## Properties
Crystal system = tetragonal
DOS(E_F) = 4.58 states/eV/f.u.
SG = P4/mmm (123)
Energy of formation from the pure elements = 101.7 kJ/mol of atoms

[2]
The following is a DFT calculation (PBE) of a relaxed structure of CoTcBi2B.

Lattice parameters (Å, degrees): 5.2187 4.6195 5.2187 90.00 90.00 90.00
Atoms (fractional coordinates):
B 0.5000 0.5000 0.5000
Co 0.0000 0.5000 0.0000
Bi 0.0000 0.0000 0.5000
Bi 0.5000 0.0000 0.0000
Tc 0.0000 0.0000 0.0000

## Properties
Crystal system = tetragonal
DOS(E_F) = 6.24 states/eV/f.u.
SG = P4/mmm (123)
Energy of formation from the pure elements = 162.3 kJ/mol of atoms

[3]
The following is a DFT calculation (PBE) of a relaxed structure of TlCoBi2B.

Lattice parameters (Å, degrees): 5.3354 3.9290 5.3354 90.00 90.00 90.00
Atoms (fractional coordinates):
Tl 0.5000 0.5000 0.5000
B 0.0000 0.0000 0.0000
Co 0.0000 0.5000 0.0000
Bi 0.0000 0.0000 0.5000
Bi 0.5000 0.0000 0.0000

## Properties
Crystal system = tetragonal
DOS(E_F) = 5.21 states/eV/f.u.
SG = P4/mmm (123)
Energy of formation from the pure elements = 59.2 kJ/mol of atoms

[4]
The following is a DFT calculation (PBE) of a relaxed structure of Tl2CoBiB.

Lattice parameters (Å, degrees): 6.3695 4.6184 6.3695 90.00 90.00 90.00
Atoms (fractional coordinates):
Tl 0.0000 0.0000 0.5000
Tl 0.5000 0.0000 0.0000
B 0.0000 0.5000 0.0000
Co 0.5000 0.5000 0.5000
Bi 0.0000 0.0000 0.0000

## Properties
Crystal system = tetragonal
DOS(E_F) = 2.86 states/eV/f.u.
SG = P4/mmm (123)
Energy of formation from the pure elements = 157.2 kJ/mol of atoms

[5]
The following is a DFT calculation (PBE) of a relaxed structure of ZnCoBi2B.

Lattice parameters (Å, degrees): 5.4863 3.7613 5.4863 90.00 90.00 90.00
Atoms (fractional coordinates):
Zn 0.0000 0.0000 0.0000
B 0.0000 0.5000 0.0000
Co 0.5000 0.5000 0.5000
Bi 0.0000 0.0000 0.5000
Bi 0.5000 0.0000 0.0000

## Properties
Crystal system = tetragonal
DOS(E_F) = 5.53 states/eV/f.u.
SG = P4/mmm (123)
Energy of formation from the pure elements = 111.8 kJ/mol of atoms

[6]
The following is a DFT calculation (PBE) of a relaxed structure of CrBi2B2.

Lattice parameters (Å, degrees): 5.4470 5.4470 4.9020 56.25 56.25 90.00
Atoms (fractional coordinates):
Cr 0.0000 0.0000 0.0000
B 0.3628 0.3628 0.2744
B 0.6372 0.6372 0.7256
Bi 0.7500 0.2500 0.5000
Bi 0.2500 0.7500 0.5000

## Properties
Distance to the lowest polymorph of the same formula = 0 meV per atom
Crystal system = tetragonal
DOS(E_F) = 2.88 states/eV/f.u.
SG = I4/mmm (139)
Energy of formation from the pure elements = 74.1 kJ/mol of atoms

[7]
The following is a DFT calculation (PBE) of a relaxed structure of CrBiB2.

Lattice parameters (Å, degrees): 5.0914 5.0914 6.2407 65.93 65.93 90.00
Atoms (fractional coordinates):
Cr 0.5000 0.5000 0.0000
Cr 0.2500 0.7500 0.5000
B 0.5453 0.1250 0.2500
B 0.2047 0.6250 0.2500
B 0.3750 0.4547 0.7500
B 0.8750 0.7953 0.7500
Bi 0.0000 0.0000 0.0000
Bi 0.7500 0.2500 0.5000

## Properties
Crystal system = tetragonal
DOS(E_F) = 2.04 states/eV/f.u.
SG = I-42d (122)
Energy of formation from the pure elements = 102.2 kJ/mol of atoms

[8]
The following is a DFT calculation (PBE) of a relaxed structure of CrBi2B2.

Lattice parameters (Å, degrees): 6.1955 6.1955 4.9695 90.00 90.00 90.00
Atoms (fractional coordinates):
Cr 0.0000 0.0000 0.0000
Cr 0.5000 0.5000 0.0000
B 0.2552 0.7552 0.0000
B 0.7552 0.7448 0.0000
B 0.7448 0.2448 0.0000
B 0.2448 0.2552 0.0000
Bi 0.1819 0.6819 0.5000
Bi 0.6819 0.8181 0.5000
Bi 0.8181 0.3181 0.5000
Bi 0.3181 0.1819 0.5000

## Properties
Distance to the lowest polymorph of the same formula = 261 meV per atom
Crystal system = tetragonal
DOS(E_F) = 3.08 states/eV/f.u.
SG = P4/mbm (127)
Energy of formation from the pure elements = 99.3 kJ/mol of atoms

[9]
The following is a DFT calculation (PBE) of a relaxed structure of CrGeBi2B.

Lattice parameters (Å, degrees): 5.5236 4.7207 5.5236 90.00 90.00 90.00
Atoms (fractional coordinates):
Cr 0.0000 0.5000 0.0000
Ge 0.0000 0.0000 0.0000
B 0.5000 0.5000 0.5000
Bi 0.0000 0.0000 0.5000
Bi 0.5000 0.0000 0.0000

## Properties
Crystal system = tetragonal
DOS(E_F) = 3.63 states/eV/f.u.
SG = P4/mmm (123)
Energy of formation from the pure elements = 148.6 kJ/mol of atoms

[10]
The following is a DFT calculation (PBE) of a relaxed structure of HfCr2BiB.

Lattice parameters (Å, degrees): 4.9192 4.4802 4.9192 90.00 90.00 90.00
Atoms (fractional coordinates):
Cr 0.0000 0.0000 0.5000
Cr 0.5000 0.0000 0.0000
B 0.0000 0.5000 0.0000
Hf 0.0000 0.0000 0.0000
Bi 0.5000 0.5000 0.5000

## Properties
Crystal system = tetragonal
DOS(E_F) = 5.12 states/eV/f.u.
SG = P4/mmm (123)
Energy of formation from the pure elements = 149.1 kJ/mol of atoms

[11]
The following is a DFT calculation (PBE) of a relaxed structure of KCrBi2B.

Lattice parameters (Å, degrees): 5.8464 4.5245 5.8464 90.00 90.00 90.00
Atoms (fractional coordinates):
Cr 0.0000 0.5000 0.0000
K 0.0000 0.0000 0.0000
B 0.5000 0.5000 0.5000
Bi 0.0000 0.0000 0.5000
Bi 0.5000 0.0000 0.0000

## Properties
Crystal system = tetragonal
DOS(E_F) = 8.65 states/eV/f.u.
SG = P4/mmm (123)
Energy of formation from the pure elements = 265.6 kJ/mol of atoms

[12]
The following is a DFT calculation (PBE) of a relaxed structure of MgCrBiB2.

Lattice parameters (Å, degrees): 4.7467 5.0651 4.7467 90.00 90.00 90.00
Atoms (fractional coordinates):
Cr 0.0000 0.5000 0.0000
Mg 0.5000 0.5000 0.5000
B 0.0000 0.0000 0.5000
B 0.5000 0.0000 0.0000
Bi 0.0000 0.0000 0.0000

## Properties
Crystal system = tetragonal
DOS(E_F) = 7.21 states/eV/f.u.
SG = P4/mmm (123)
Energy of formation from the pure elements = 223.9 kJ/mol of atoms